# 1
DFT (GGA-PBE) results for crystalline Cs5CoI8 at its relaxed geometry.

Values from the calculation:
raw total energy	-38.37	eV per cell
total magnetic moment	2.1	μB per cell
DOS(E_F)	1.27	states/eV/f.u.

a = 10.2956 Å, b = 10.2956 Å, c = 10.2956 Å
α = 113.79°, β = 113.79°, γ = 101.14°
Fractional coordinates of all 14 atoms:
Cs 0.0000 0.0000 0.0000
Cs 0.2516 0.1020 0.5736
Cs 0.3221 0.7484 0.8505
Cs 0.5284 0.6779 0.4264
Cs 0.8980 0.4716 0.1495
Co 0.7500 0.2500 0.5000
I 0.0205 0.3430 0.7414
I 0.2028 0.7878 0.1817
I 0.2122 0.3939 0.4150
I 0.6016 0.2792 0.2586
I 0.6061 0.0211 0.8183
I 0.6570 0.3984 0.6775
I 0.7208 0.9795 0.3225
I 0.9789 0.7972 0.5850

# 2
DFT (GGA-PBE) results for crystalline Cs2CoI at its relaxed geometry.

Values from the calculation:
raw total energy	-10.40	eV per cell
total magnetic moment	2.0	μB per cell
DOS(E_F)	0.00	states/eV/f.u.

a = 6.5131 Å, b = 6.5131 Å, c = 6.5131 Å
α = 60.00°, β = 60.00°, γ = 60.00°
Fractional coordinates of all 4 atoms:
Cs 0.2500 0.2500 0.2500
Cs 0.7500 0.7500 0.7500
Co 0.0000 0.0000 0.0000
I 0.5000 0.5000 0.5000

# 3
DFT (GGA-PBE) results for crystalline Cs3CoI5 at its relaxed geometry.

Values from the calculation:
total magnetic moment	6.0	μB per cell
relative energy among the computed polymorphs	3	meV per atom

a = 11.0140 Å, b = 11.0140 Å, c = 11.0140 Å
α = 122.88°, β = 122.88°, γ = 85.09°
Fractional coordinates of all 18 atoms:
Cs 0.1608 0.6608 0.8216
Cs 0.2500 0.2500 0.0000
Cs 0.3392 0.1608 0.5000
Cs 0.6608 0.8392 0.5000
Cs 0.7500 0.7500 0.0000
Cs 0.8392 0.3392 0.1784
Co 0.2500 0.7500 0.5000
Co 0.7500 0.2500 0.5000
I 0.0000 0.0000 0.0000
I 0.0163 0.7956 0.5000
I 0.2044 0.7044 0.2208
I 0.2956 0.5163 0.5000
I 0.4837 0.9837 0.7792
I 0.5000 0.5000 0.0000
I 0.5163 0.0163 0.2208
I 0.7044 0.4837 0.5000
I 0.7956 0.2956 0.7792
I 0.9837 0.2044 0.5000

# 4
DFT (GGA-PBE) results for crystalline Cs3CoI5 at its relaxed geometry.

Values from the calculation:
total magnetic moment	12.0	μB per cell
relative energy among the computed polymorphs	0	meV per atom

a = 10.1795 Å, b = 11.7460 Å, c = 15.1993 Å
α = 90.00°, β = 90.00°, γ = 90.00°
Fractional coordinates of all 36 atoms:
Cs 0.0843 0.0165 0.1724
Cs 0.0843 0.4835 0.1724
Cs 0.0854 0.2500 0.4534
Cs 0.4146 0.7500 0.9534
Cs 0.4157 0.5165 0.6724
Cs 0.4157 0.9835 0.6724
Cs 0.5843 0.0165 0.3276
Cs 0.5843 0.4835 0.3276
Cs 0.5854 0.2500 0.0466
Cs 0.9146 0.7500 0.5466
Cs 0.9157 0.5165 0.8276
Cs 0.9157 0.9835 0.8276
Co 0.1862 0.2500 0.8939
Co 0.3138 0.7500 0.3939
Co 0.6862 0.2500 0.6061
Co 0.8138 0.7500 0.1061
I 0.0286 0.7500 0.0147
I 0.1402 0.2500 0.7271
I 0.1638 0.7500 0.7392
I 0.1911 0.5648 0.4349
I 0.1911 0.9352 0.4349
I 0.3089 0.0648 0.9349
I 0.3089 0.4352 0.9349
I 0.3362 0.2500 0.2392
I 0.3598 0.7500 0.2271
I 0.4714 0.2500 0.5147
I 0.5286 0.7500 0.4853
I 0.6402 0.2500 0.7729
I 0.6638 0.7500 0.7608
I 0.6911 0.5648 0.0651
I 0.6911 0.9352 0.0651
I 0.8089 0.0648 0.5651
I 0.8089 0.4352 0.5651
I 0.8362 0.2500 0.2608
I 0.8598 0.7500 0.2729
I 0.9714 0.2500 0.9853

# 5
DFT (GGA-PBE) results for crystalline Cs3Co5I12 at its relaxed geometry.

Values from the calculation:
raw total energy	-256.14	eV per cell
total magnetic moment	56.0	μB per cell
DOS(E_F)	16.66	states/eV/f.u.

a = 15.9499 Å, b = 15.9499 Å, c = 15.9499 Å
α = 109.47°, β = 109.47°, γ = 109.47°
Fractional coordinates of all 80 atoms:
Cs 0.1250 0.2500 0.3750
Cs 0.1250 0.3750 0.7500
Cs 0.2500 0.3750 0.1250
Cs 0.2500 0.8750 0.6250
Cs 0.3750 0.1250 0.2500
Cs 0.3750 0.7500 0.1250
Cs 0.6250 0.2500 0.8750
Cs 0.6250 0.8750 0.7500
Cs 0.7500 0.1250 0.3750
Cs 0.7500 0.6250 0.8750
Cs 0.8750 0.6250 0.2500
Cs 0.8750 0.7500 0.6250
Co 0.0000 0.0000 0.0000
Co 0.0000 0.0000 0.5000
Co 0.0000 0.5000 0.0000
Co 0.0000 0.5000 0.5000
Co 0.1250 0.7500 0.8750
Co 0.1250 0.8750 0.2500
Co 0.2500 0.1250 0.8750
Co 0.2500 0.6250 0.3750
Co 0.3750 0.2500 0.6250
Co 0.3750 0.6250 0.7500
Co 0.5000 0.0000 0.0000
Co 0.5000 0.0000 0.5000
Co 0.5000 0.5000 0.0000
Co 0.5000 0.5000 0.5000
Co 0.6250 0.3750 0.2500
Co 0.6250 0.7500 0.3750
Co 0.7500 0.3750 0.6250
Co 0.7500 0.8750 0.1250
Co 0.8750 0.1250 0.7500
Co 0.8750 0.2500 0.1250
I 0.0046 0.1903 0.1019
I 0.0046 0.3143 0.9028
I 0.0885 0.6903 0.6857
I 0.0885 0.8981 0.4028
I 0.0972 0.6019 0.4115
I 0.0972 0.9954 0.6857
I 0.1019 0.0046 0.1903
I 0.1019 0.5972 0.9115
I 0.1857 0.1903 0.5885
I 0.1857 0.4954 0.5972
I 0.1903 0.1019 0.0046
I 0.1903 0.5885 0.1857
I 0.3097 0.3143 0.9115
I 0.3097 0.4954 0.3981
I 0.3143 0.9028 0.0046
I 0.3143 0.9115 0.3097
I 0.3981 0.3097 0.4954
I 0.3981 0.5885 0.9028
I 0.4028 0.0885 0.8981
I 0.4028 0.8143 0.5046
I 0.4115 0.0972 0.6019
I 0.4115 0.8143 0.8097
I 0.4954 0.3981 0.3097
I 0.4954 0.5972 0.1857
I 0.5046 0.4028 0.8143
I 0.5046 0.6019 0.6903
I 0.5885 0.1857 0.1903
I 0.5885 0.9028 0.3981
I 0.5972 0.1857 0.4954
I 0.5972 0.9115 0.1019
I 0.6019 0.4115 0.0972
I 0.6019 0.6903 0.5046
I 0.6857 0.0885 0.6903
I 0.6857 0.0972 0.9954
I 0.6903 0.5046 0.6019
I 0.6903 0.6857 0.0885
I 0.8097 0.4115 0.8143
I 0.8097 0.8981 0.9954
I 0.8143 0.5046 0.4028
I 0.8143 0.8097 0.4115
I 0.8981 0.4028 0.0885
I 0.8981 0.9954 0.8097
I 0.9028 0.0046 0.3143
I 0.9028 0.3981 0.5885
I 0.9115 0.1019 0.5972
I 0.9115 0.3097 0.3143
I 0.9954 0.6857 0.0972
I 0.9954 0.8097 0.8981

# 6
DFT (GGA-PBE) results for crystalline Cs2CoIrI6 at its relaxed geometry.

Values from the calculation:
raw total energy	-31.39	eV per cell
total magnetic moment	2.1	μB per cell
DOS(E_F)	11.04	states/eV/f.u.

a = 7.9449 Å, b = 7.9449 Å, c = 7.9449 Å
α = 118.64°, β = 118.64°, γ = 92.37°
Fractional coordinates of all 10 atoms:
Cs 0.2500 0.7500 0.5000
Cs 0.7500 0.2500 0.5000
Co 0.0000 0.0000 0.0000
Ir 0.5000 0.5000 0.0000
I 0.2478 0.2478 0.0000
I 0.2591 0.2591 0.5182
I 0.2591 0.7409 0.0000
I 0.7409 0.2591 0.0000
I 0.7409 0.7409 0.4818
I 0.7522 0.7522 0.0000

# 7
DFT (GGA-PBE) results for crystalline Cs2LaCoI6 at its relaxed geometry.

Values from the calculation:
raw total energy	-34.20	eV per cell
total magnetic moment	2.0	μB per cell
DOS(E_F)	0.00	states/eV/f.u.

a = 8.4837 Å, b = 8.4837 Å, c = 8.4837 Å
α = 119.97°, β = 119.97°, γ = 90.05°
Fractional coordinates of all 10 atoms:
Cs 0.2500 0.7500 0.5000
Cs 0.7500 0.2500 0.5000
La 0.0000 0.0000 0.0000
Co 0.5000 0.5000 0.0000
I 0.2635 0.2635 0.0000
I 0.2632 0.2632 0.5264
I 0.2632 0.7368 0.0000
I 0.7368 0.2632 0.0000
I 0.7365 0.7365 0.0000
I 0.7368 0.7368 0.4736

# 8
DFT (GGA-PBE) results for crystalline Cs2MgCoI6 at its relaxed geometry.

Values from the calculation:
raw total energy	-28.14	eV per cell
total magnetic moment	3.0	μB per cell
DOS(E_F)	11.34	states/eV/f.u.

a = 8.2139 Å, b = 8.2139 Å, c = 8.2139 Å
α = 60.00°, β = 60.00°, γ = 60.00°
Fractional coordinates of all 10 atoms:
Cs 0.2500 0.2500 0.2500
Cs 0.7500 0.7500 0.7500
Mg 0.0000 0.0000 0.0000
Co 0.5000 0.5000 0.5000
I 0.2555 0.2555 0.7445
I 0.2555 0.7445 0.2555
I 0.2555 0.7445 0.7445
I 0.7445 0.2555 0.2555
I 0.7445 0.2555 0.7445
I 0.7445 0.7445 0.2555

# 9
DFT (GGA-PBE) results for crystalline Cs2MnCoI6 at its relaxed geometry.

Values from the calculation:
raw total energy	-33.96	eV per cell
total magnetic moment	7.2	μB per cell
DOS(E_F)	16.32	states/eV/f.u.

a = 8.1224 Å, b = 8.1224 Å, c = 8.1224 Å
α = 119.94°, β = 119.94°, γ = 90.11°
Fractional coordinates of all 10 atoms:
Cs 0.2500 0.7500 0.5000
Cs 0.7500 0.2500 0.5000
Mn 0.0000 0.0000 0.0000
Co 0.5000 0.5000 0.0000
I 0.2530 0.2530 0.5060
I 0.2530 0.7470 0.0000
I 0.2538 0.2538 0.0000
I 0.7462 0.7462 0.0000
I 0.7470 0.2530 0.0000
I 0.7470 0.7470 0.4940

# 10
DFT (GGA-PBE) results for crystalline CsCoIN2 at its relaxed geometry.

Values from the calculation:
total magnetic moment	0.2	μB per cell
relative energy among the computed polymorphs	1025	meV per atom
DOS(E_F)	9.07	states/eV/f.u.

a = 4.4444 Å, b = 4.4444 Å, c = 7.7266 Å
α = 90.00°, β = 90.00°, γ = 90.00°
Fractional coordinates of all 5 atoms:
Cs 0.0000 0.0000 0.0000
Co 0.5000 0.5000 0.5000
I 0.0000 0.0000 0.5000
N 0.0000 0.5000 0.0000
N 0.5000 0.0000 0.0000

# 11
DFT (GGA-PBE) results for crystalline CsCoIN2 at its relaxed geometry.

Values from the calculation:
total magnetic moment	0.2	μB per cell
relative energy among the computed polymorphs	0	meV per atom
DOS(E_F)	6.71	states/eV/f.u.

a = 4.4823 Å, b = 4.4823 Å, c = 5.3118 Å
α = 90.00°, β = 90.00°, γ = 90.00°
Fractional coordinates of all 5 atoms:
Cs 0.0000 0.0000 0.0000
Co 0.5000 0.5000 0.5000
I 0.5000 0.5000 0.0000
N 0.0000 0.5000 0.5000
N 0.5000 0.0000 0.5000

# 12
DFT (GGA-PBE) results for crystalline Cs2Pr10Co2I17 at its relaxed geometry.

Values from the calculation:
raw total energy	-128.06	eV per cell
total magnetic moment	0.0	μB per cell
DOS(E_F)	7.85	states/eV/f.u.

a = 11.7947 Å, b = 11.7947 Å, c = 10.0168 Å
α = 93.45°, β = 93.45°, γ = 108.20°
Fractional coordinates of all 31 atoms:
Cs 0.1700 0.8300 0.0000
Cs 0.8300 0.1700 0.0000
Pr 0.1755 0.1755 0.4414
Pr 0.2075 0.5064 0.5705
Pr 0.2955 0.2955 0.8112
Pr 0.4408 0.4408 0.3266
Pr 0.4936 0.7925 0.4295
Pr 0.5064 0.2075 0.5705
Pr 0.5592 0.5592 0.6734
Pr 0.7045 0.7045 0.1888
Pr 0.7925 0.4936 0.4295
Pr 0.8245 0.8245 0.5586
Co 0.3577 0.3577 0.5680
Co 0.6423 0.6423 0.4320
I 0.0270 0.6890 0.5827
I 0.0635 0.0635 0.7130
I 0.1153 0.4480 0.8585
I 0.2153 0.2153 0.1299
I 0.2550 0.6008 0.2738
I 0.3110 0.9730 0.4173
I 0.3992 0.7450 0.7262
I 0.4480 0.1153 0.8585
I 0.5000 0.5000 0.0000
I 0.5520 0.8847 0.1415
I 0.6008 0.2550 0.2738
I 0.6890 0.0270 0.5827
I 0.7450 0.3992 0.7262
I 0.7847 0.7847 0.8701
I 0.8847 0.5520 0.1415
I 0.9365 0.9365 0.2870
I 0.9730 0.3110 0.4173

# 13
DFT (GGA-PBE) results for crystalline CsRb2CoI6 at its relaxed geometry.

Values from the calculation:
raw total energy	-27.38	eV per cell
total magnetic moment	0.0	μB per cell
DOS(E_F)	0.00	states/eV/f.u.

a = 8.7576 Å, b = 8.7576 Å, c = 8.7576 Å
α = 60.00°, β = 60.00°, γ = 60.00°
Fractional coordinates of all 10 atoms:
Cs 0.0000 0.0000 0.0000
Rb 0.2500 0.2500 0.2500
Rb 0.7500 0.7500 0.7500
Co 0.5000 0.5000 0.5000
I 0.2876 0.2876 0.7124
I 0.2876 0.7124 0.2876
I 0.2876 0.7124 0.7124
I 0.7124 0.2876 0.2876
I 0.7124 0.2876 0.7124
I 0.7124 0.7124 0.2876

# 14
DFT (GGA-PBE) results for crystalline CsRbCoI4 at its relaxed geometry.

Values from the calculation:
raw total energy	-42.99	eV per cell
total magnetic moment	6.0	μB per cell

a = 7.8537 Å, b = 8.3058 Å, c = 10.8983 Å
α = 90.00°, β = 109.63°, γ = 90.00°
Fractional coordinates of all 14 atoms:
Cs 0.1998 0.2500 0.4142
Cs 0.8002 0.7500 0.5858
Rb 0.2936 0.2500 0.9616
Rb 0.7064 0.7500 0.0384
Co 0.3101 0.7500 0.2094
Co 0.6899 0.2500 0.7906
I 0.0974 0.7500 0.3464
I 0.1421 0.7500 0.9602
I 0.4811 0.0008 0.7335
I 0.4811 0.4992 0.7335
I 0.5189 0.5008 0.2665
I 0.5189 0.9992 0.2665
I 0.8579 0.2500 0.0398
I 0.9026 0.2500 0.6536

# 15
DFT (GGA-PBE) results for crystalline CsCoSbI2 at its relaxed geometry.

Values from the calculation:
raw total energy	-16.45	eV per cell
total magnetic moment	0.0	μB per cell
DOS(E_F)	2.83	states/eV/f.u.

a = 5.9265 Å, b = 5.9265 Å, c = 4.7924 Å
α = 90.00°, β = 90.00°, γ = 90.00°
Fractional coordinates of all 5 atoms:
Cs 0.0000 0.0000 0.0000
Co 0.5000 0.5000 0.5000
Sb 0.5000 0.5000 0.0000
I 0.0000 0.5000 0.5000
I 0.5000 0.0000 0.5000

# 16
DFT (GGA-PBE) results for crystalline CsCoSb2I at its relaxed geometry.

Values from the calculation:
raw total energy	-18.15	eV per cell
total magnetic moment	0.0	μB per cell
DOS(E_F)	5.21	states/eV/f.u.

a = 4.9006 Å, b = 4.9006 Å, c = 8.7140 Å
α = 90.00°, β = 90.00°, γ = 90.00°
Fractional coordinates of all 5 atoms:
Cs 0.0000 0.0000 0.0000
Co 0.5000 0.5000 0.5000
Sb 0.0000 0.5000 0.5000
Sb 0.5000 0.0000 0.5000
I 0.5000 0.5000 0.0000

# 17
DFT (GGA-PBE) results for crystalline Cs2CoSeI6 at its relaxed geometry.

Values from the calculation:
raw total energy	-26.96	eV per cell
total magnetic moment	1.5	μB per cell
DOS(E_F)	19.60	states/eV/f.u.

a = 8.2534 Å, b = 8.2534 Å, c = 8.2534 Å
α = 119.83°, β = 119.83°, γ = 90.29°
Fractional coordinates of all 10 atoms:
Cs 0.2500 0.7500 0.5000
Cs 0.7500 0.2500 0.5000
Co 0.0000 0.0000 0.0000
Se 0.5000 0.5000 0.0000
I 0.2273 0.2273 0.4545
I 0.2273 0.7727 0.0000
I 0.2540 0.2540 0.0000
I 0.7460 0.7460 0.0000
I 0.7727 0.2273 0.0000
I 0.7727 0.7727 0.5455